1.
## CeNd4Th3Se8 (PBE)

Data for an optimized crystal structure of CeNd4Th3Se8.

CIF file:
```
data_CeNd4Th3Se8
_chemical_formula_sum 'Ce3 Nd12 Th9 Se24'
_space_group_name_H-M_alt 'R -3 m'
_space_group_IT_number 166
_space_group_name_Hall '-R 3 2"'
_cell_length_a 8.3654
_cell_length_b 8.3654
_cell_length_c 20.9622
_cell_angle_alpha 90.00
_cell_angle_beta 90.00
_cell_angle_gamma 120.00
loop_
_atom_site_label
_atom_site_type_symbol
_atom_site_fract_x
_atom_site_fract_y
_atom_site_fract_z
Ce1 Ce 0.0000 0.0000 0.0000
Nd1 Nd 0.0000 0.0000 0.5000
Nd2 Nd 0.0000 0.5000 0.5000
Th1 Th 0.0000 0.5000 0.0000
Se1 Se 0.0000 0.0000 0.2496
Se2 Se 0.0008 0.5004 0.7499
```

Its energy is -6.418 eV/atom. The uncorrected formation energy comes out at -1.72 eV/atom. The calculated volume is 26.46 Å³/atom. As for the density of states at the Fermi level: 35.859 states/eV per cell.



2.
## MnReNi2 (PBE)

Data for an optimized crystal structure of MnReNi2.

CIF file:
```
data_MnReNi2
_chemical_formula_sum 'Mn2 Re2 Ni4'
_space_group_name_H-M_alt 'C 1 m 1'
_space_group_IT_number 8
_cell_length_a 8.511
_cell_length_b 2.606
_cell_length_c 4.509
_cell_angle_alpha 90.00
_cell_angle_beta 99.83
_cell_angle_gamma 90.00
loop_
_space_group_symop_operation_xyz
'x,y,z'
'x,-y,z'
'x+1/2,y+1/2,z'
'x+1/2,-y+1/2,z'
loop_
_atom_site_label
_atom_site_type_symbol
_atom_site_fract_x
_atom_site_fract_y
_atom_site_fract_z
Mn1 Mn 0.000 0.000 0.000
Re1 Re 0.254 0.500 0.268
Ni1 Ni 0.005 0.500 0.510
Ni2 Ni 0.253 0.000 0.761
```

Its energy is -8.270 eV/atom. The calculated volume is 12.32 Å³/atom. Its energy above the lowest structure with this stoichiometry is 20 meV per atom. The value obtained for the energy of formation is 0.025 eV per atom. As for the density of states at the Fermi level: 8.011 states/eV per cell.



3.
## Dy4HoSe7 (PBE)

Data for an optimized crystal structure of Dy4HoSe7.

CIF file:
```
data_Dy4HoSe7
_chemical_formula_sum 'Dy8 Ho2 Se14'
_space_group_name_H-M_alt 'C 1 m 1'
_space_group_IT_number 8
_cell_length_a 13.374
_cell_length_b 3.965
_cell_length_c 12.184
_cell_angle_alpha 90.00
_cell_angle_beta 104.44
_cell_angle_gamma 90.00
loop_
_space_group_symop_operation_xyz
'x,y,z'
'x,-y,z'
'x+1/2,y+1/2,z'
'x+1/2,-y+1/2,z'
loop_
_atom_site_label
_atom_site_type_symbol
_atom_site_fract_x
_atom_site_fract_y
_atom_site_fract_z
Dy1 Dy 0.000 0.000 0.000
Dy2 Dy 0.088 0.500 0.390
Dy3 Dy 0.187 0.000 0.766
Dy4 Dy 0.387 0.500 0.577
Ho1 Ho 0.275 0.500 0.156
Se1 Se 0.047 0.500 0.628
Se2 Se 0.129 0.500 0.930
Se3 Se 0.147 0.000 0.226
Se4 Se 0.227 0.000 0.527
Se5 Se 0.347 0.500 0.793
Se6 Se 0.387 0.000 0.078
Se7 Se 0.427 0.500 0.361
```

Its energy is -5.808 eV/atom. The uncorrected formation energy comes out at -1.86 eV/atom. The calculated volume is 26.07 Å³/atom. As for the density of states at the Fermi level: 3.461 states/eV per cell.



4.
## PmSm3Th2 (PBE)

Data for an optimized crystal structure of PmSm3Th2.

CIF file:
```
data_PmSm3Th2
_chemical_formula_sum 'Pm2 Sm6 Th4'
_space_group_name_H-M_alt 'C m m m'
_space_group_IT_number 65
_space_group_name_Hall '-C 2 2'
_cell_length_a 5.093
_cell_length_b 15.294
_cell_length_c 5.132
_cell_angle_alpha 90.00
_cell_angle_beta 90.00
_cell_angle_gamma 90.00
loop_
_atom_site_label
_atom_site_type_symbol
_atom_site_fract_x
_atom_site_fract_y
_atom_site_fract_z
Pm1 Pm 0.000 0.000 0.000
Sm1 Sm 0.000 0.330 0.000
Sm2 Sm 0.000 0.500 0.500
Th1 Th 0.000 0.169 0.500
```

Its energy is -5.565 eV/atom. The calculated volume is 33.31 Å³/atom. Its energy above the lowest structure with this stoichiometry is 0 meV per atom. The value obtained for the energy of formation is 0.059 eV per atom. As for the density of states at the Fermi level: 17.044 states/eV per cell.



5.
## Ac4PmPb3 (PBE)

Data for an optimized crystal structure of Ac4PmPb3.

CIF file:
```
data_Ac4PmPb3
_chemical_formula_sum 'Ac8 Pm2 Pb6'
_space_group_name_H-M_alt 'I m m m'
_space_group_IT_number 71
_space_group_name_Hall '-I 2 2'
_cell_length_a 4.533
_cell_length_b 5.239
_cell_length_c 25.080
_cell_angle_alpha 90.00
_cell_angle_beta 90.00
_cell_angle_gamma 90.00
loop_
_atom_site_label
_atom_site_type_symbol
_atom_site_fract_x
_atom_site_fract_y
_atom_site_fract_z
Ac1 Ac 0.000 0.000 0.111
Ac2 Ac 0.000 0.500 0.265
Pm1 Pm 0.000 0.500 0.000
Pb1 Pb 0.000 0.000 0.357
Pb2 Pb 0.000 0.500 0.500
```

Its energy is -4.337 eV/atom. The calculated volume is 37.23 Å³/atom. The value obtained for the energy of formation is -0.298 eV per atom. As for the density of states at the Fermi level: 14.920 states/eV per cell.



6.
## TaPdW (PBE)

Data for an optimized crystal structure of TaPdW.

CIF file:
```
data_TaPdW
_chemical_formula_sum 'Ta1 Pd1 W1'
_space_group_name_H-M_alt 'P -6 m 2'
_space_group_IT_number 187
_space_group_name_Hall 'P -6 2'
_cell_length_a 4.6564
_cell_length_b 4.6564
_cell_length_c 2.6580
_cell_angle_alpha 90.00
_cell_angle_beta 90.00
_cell_angle_gamma 120.00
loop_
_atom_site_label
_atom_site_type_symbol
_atom_site_fract_x
_atom_site_fract_y
_atom_site_fract_z
Ta1 Ta 0.0000 0.0000 0.0000
Pd1 Pd 0.6667 0.3333 0.0000
W1 W 0.3333 0.6667 0.5000
```

Its energy is -9.884 eV/atom. The calculated volume is 16.64 Å³/atom. The value obtained for the energy of formation is 0.115 eV per atom. As for the density of states at the Fermi level: 1.834 states/eV per cell.



7.
## TlHPd (PBE)

Data for an optimized crystal structure of TlHPd.

CIF file:
```
data_TlHPd
_chemical_formula_sum 'Tl1 H1 Pd1'
_space_group_name_H-M_alt 'P -6 m 2'
_space_group_IT_number 187
_space_group_name_Hall 'P -6 2'
_cell_length_a 3.1894
_cell_length_b 3.1894
_cell_length_c 5.2304
_cell_angle_alpha 90.00
_cell_angle_beta 90.00
_cell_angle_gamma 120.00
loop_
_atom_site_label
_atom_site_type_symbol
_atom_site_fract_x
_atom_site_fract_y
_atom_site_fract_z
Tl1 Tl 0.0000 0.0000 0.0000
H1 H 0.3333 0.6667 0.5000
Pd1 Pd 0.6667 0.3333 0.5000
```

Its energy is -3.631 eV/atom. The calculated volume is 15.36 Å³/atom. Its energy above the lowest structure with this stoichiometry is 89 meV per atom. As for the density of states at the Fermi level: 1.707 states/eV per cell.



8.
## TlCd2Hg2Bi2 (PBE)

Data for an optimized crystal structure of TlCd2Hg2Bi2.

CIF file:
```
data_TlCd2Hg2Bi2
_chemical_formula_sum 'Tl3 Cd6 Hg6 Bi6'
_space_group_name_H-M_alt 'R -3 m'
_space_group_IT_number 166
_space_group_name_Hall '-R 3 2"'
_cell_length_a 5.3495
_cell_length_b 5.3495
_cell_length_c 25.3801
_cell_angle_alpha 90.00
_cell_angle_beta 90.00
_cell_angle_gamma 120.00
loop_
_atom_site_label
_atom_site_type_symbol
_atom_site_fract_x
_atom_site_fract_y
_atom_site_fract_z
Tl1 Tl 0.0000 0.0000 0.0000
Cd1 Cd 0.0000 0.0000 0.3946
Hg1 Hg 0.0000 0.0000 0.1359
Bi1 Bi 0.0000 0.0000 0.2583
```

Its energy is -1.739 eV/atom. The calculated volume is 29.95 Å³/atom. The value obtained for the energy of formation is 0.055 eV per atom. As for the density of states at the Fermi level: 7.987 states/eV per cell.



9.
## CaCuC (PBE)

Data for an optimized crystal structure of CaCuC.

CIF file:
```
data_CaCuC
_chemical_formula_sum 'Ca2 Cu2 C2'
_space_group_name_H-M_alt 'P 1 m 1'
_space_group_IT_number 6
_cell_length_a 4.565
_cell_length_b 3.482
_cell_length_c 7.261
_cell_angle_alpha 90.00
_cell_angle_beta 96.01
_cell_angle_gamma 90.00
loop_
_space_group_symop_operation_xyz
'x,y,z'
'x,-y,z'
loop_
_atom_site_label
_atom_site_type_symbol
_atom_site_fract_x
_atom_site_fract_y
_atom_site_fract_z
Ca1 Ca 0.000 0.000 0.000
Ca2 Ca 0.422 0.000 0.532
Cu1 Cu 0.482 0.500 0.853
Cu2 Cu 0.505 0.500 0.186
C1 C 0.099 0.500 0.714
C2 C 0.818 0.500 0.712
```

Its energy is -4.983 eV/atom. The calculated volume is 19.13 Å³/atom. Its energy above the lowest structure with this stoichiometry is 112 meV per atom. The value obtained for the energy of formation is 0.124 eV per atom. As for the density of states at the Fermi level: 2.071 states/eV per cell.



10.
## MgTiNiS4 (PBE)

Data for an optimized crystal structure of MgTiNiS4.

CIF file:
```
data_MgTiNiS4
_chemical_formula_sum 'Mg4 Ti4 Ni4 S16'
_space_group_name_H-M_alt 'I m m a'
_space_group_IT_number 74
_space_group_name_Hall '-I 2b 2'
_cell_length_a 7.103
_cell_length_b 7.178
_cell_length_c 10.414
_cell_angle_alpha 90.00
_cell_angle_beta 90.00
_cell_angle_gamma 90.00
loop_
_atom_site_label
_atom_site_type_symbol
_atom_site_fract_x
_atom_site_fract_y
_atom_site_fract_z
Mg1 Mg 0.000 0.250 0.114
Ti1 Ti 0.250 0.250 0.750
Ni1 Ni 0.000 0.000 0.500
S1 S 0.000 0.016 0.741
S2 S 0.215 0.250 0.515
```

Its energy is -5.456 eV/atom. The uncorrected formation energy comes out at -0.92 eV/atom. The calculated volume is 18.96 Å³/atom. As for the density of states at the Fermi level: 12.506 states/eV per cell.